No. 1
First-principles (PBE-GGA) data for a geometry-optimized RuWCl2 structure, as listed in Alexandria via LeMat-Bulk.

Lattice parameters (Å, degrees): 8.9966 8.9966 8.9966 160.57 159.28 28.55
Closest atoms and distances in Å follow each position.
Fractional coordinates of all 4 atoms:
Ru  0.0000  0.0000  0.0000  2 W 2.32
W  0.4042  0.9042  0.5000  2 Ru 2.32
Cl  0.5957  0.5957  0.0000  4 Ru 2.78, 2 Cl 3.04
Cl  0.8072  0.3072  0.5000  4 W 2.79, 2 Cl 3.04

E above lowest polymorph, eV per atom: 0.358
DOS at the Fermi energy, states/eV/cell: 0.89
Size of the total moment, μB per formula unit: 0.00
E_form (uncorrected), kcal/mol of atoms: 3.68

***

No. 2
First-principles (PBE-GGA) data for a geometry-optimized IrPd2PbW structure, as listed in Alexandria via LeMat-Bulk.

Lattice parameters (Å, degrees): 4.8424 4.8424 5.1641 90.00 90.00 90.00
Closest atoms and distances in Å follow each position.
Fractional coordinates of all 5 atoms:
Ir  0.0000  0.0000  0.0000  4 W 3.42, 8 Pd 3.54
Pd  0.0000  0.5000  0.5000  2 Pb 2.42
Pd  0.5000  0.0000  0.5000  2 Pb 2.42
Pb  0.5000  0.5000  0.5000  4 Pd 2.42, 2 W 2.58
W  0.5000  0.5000  0.0000  2 Pb 2.58

Formation energy from the elements, eV/atom: 2.265
DOS at the Fermi energy, states/eV/cell: 6.85
Size of the total moment, μB per formula unit: 2.86